This record from the Alexandria database describes an optimized crystal structure of Ac2Tm2Se2S3. The functional is PBE.

Unit cell a=10.491 b=10.491 c=10.491 alpha=152.12 beta=152.12 gamma=39.84
Sites, in units of the cell vectors:
Ac: 0.176 0.176 0.000
Ac: 0.824 0.824 0.000
Tm: 0.000 0.500 0.500
Tm: 0.500 0.000 0.500
Se: 0.411 0.411 0.000
Se: 0.589 0.589 0.000
S: 0.000 0.000 0.000
S: 0.250 0.750 0.500
S: 0.750 0.250 0.500

For the uncorrected formation energy, the calculation gives -1.726 eV/atom. As for the theoretical density: 6.9 g cm⁻³. The energy comes out at -5.78 eV per atom. Its space group is I4/mmm.